## P
A plane-wave DFT calculation with GGA-PBE was carried out for crystalline HfMoAsSe2 at its relaxed geometry.

```
HfMoAsSe2
1.0
5.091 0.000 0.000
0.000 5.091 0.000
0.000 0.000 5.209
Hf Mo As Se
1 1 1 2
Cartesian
0.000 0.000 0.000 Hf
2.546 2.546 2.605 Mo
0.000 0.000 2.605 As
0.000 2.546 0.000 Se
2.546 0.000 0.000 Se
```

Results
space-group type: P4/mmm (123)

## Q
A plane-wave DFT calculation with GGA-PBE was carried out for crystalline HfMoAsSe2 at its relaxed geometry.

```
HfMoAsSe2
1.0
4.858 0.000 0.000
0.000 4.858 0.000
0.000 0.000 4.910
Hf Mo As Se
1 1 1 2
Cartesian
0.000 0.000 0.000 Hf
2.429 2.429 2.455 Mo
2.429 2.429 0.000 As
0.000 2.429 2.455 Se
2.429 0.000 2.455 Se
```

Results
space-group type: P4/mmm (123)

Most favorable structure: P. The second most favorable one is 1.3 kJ/mol of atoms above it.

## P
A plane-wave DFT calculation with GGA-PBE was carried out for crystalline Hf2AsN at its relaxed geometry.

```
Hf2AsN
1.0
1.718 0.992 6.076
-1.718 0.992 6.076
0.000 -1.984 6.076
Hf As N
2 1 1
Cartesian
0.000 0.000 4.194 Hf
0.000 0.000 14.034 Hf
0.000 0.000 0.000 As
0.000 0.000 9.114 N
```

Results
space-group type: R-3m (166)

## Q
A plane-wave DFT calculation with GGA-PBE was carried out for crystalline Hf2AsN at its relaxed geometry.

```
Hf2AsN
1.0
1.701 0.982 6.153
-1.701 0.982 6.153
0.000 -1.964 6.153
Hf As N
2 1 1
Cartesian
0.000 0.000 0.000 Hf
0.000 0.000 3.742 Hf
0.000 0.000 8.038 As
0.000 0.000 11.197 N
```

Results
space-group type: R3m (160)

## R
A plane-wave DFT calculation with GGA-PBE was carried out for crystalline Hf2AsN at its relaxed geometry.

```
Hf2AsN
1.0
0.000 3.134 3.134
3.134 0.000 3.134
3.134 3.134 0.000
Hf As N
2 1 1
Cartesian
1.567 1.567 1.567 Hf
4.701 4.701 4.701 Hf
0.000 0.000 0.000 As
3.134 3.134 3.134 N
```

Results
space-group type: Fm-3m (225)

Most favorable structure: Q. The second most favorable one is 7.5 kJ/mol of atoms above it.

## P
A plane-wave DFT calculation with GGA-PBE was carried out for crystalline NaHfAs2 at its relaxed geometry.

```
NaHfAs2
1.0
-3.170 3.170 6.590
3.170 -3.170 6.590
3.170 3.170 -6.590
Na Hf As
2 2 4
Cartesian
0.000 0.000 0.000 Na
0.000 3.170 3.295 Na
3.170 0.000 3.295 Hf
0.000 0.000 6.590 Hf
1.585 -1.162 4.942 As
2.008 1.585 1.647 As
1.585 4.331 -1.647 As
1.162 1.585 8.237 As
```

Results
space-group type: I-42d (122)

## Q
A plane-wave DFT calculation with GGA-PBE was carried out for crystalline NaHfAs2 at its relaxed geometry.

```
NaHfAs2
1.0
1.869 1.079 7.572
-1.869 1.079 7.572
0.000 -2.158 7.572
Na Hf As
1 1 2
Cartesian
0.000 0.000 0.000 Na
0.000 0.000 11.357 Hf
0.000 0.000 5.448 As
0.000 0.000 17.266 As
```

Results
space-group type: R-3m (166)

Most favorable structure: Q. The second most favorable one is 40.7 kJ/mol of atoms above it.

## P
A plane-wave DFT calculation with GGA-PBE was carried out for crystalline Na2HfAs at its relaxed geometry.

```
Na2HfAs
1.0
-1.955 1.955 11.957
1.955 -1.955 11.957
1.955 1.955 -11.957
Na Hf As
4 2 2
Cartesian
2.933 0.926 -2.989 Na
0.926 0.978 2.989 Na
-0.978 1.030 8.968 Na
1.030 0.978 14.946 Na
1.955 0.000 5.978 Hf
0.000 0.000 11.957 Hf
0.000 0.000 0.000 As
0.000 1.955 5.978 As
```

Results
space-group type: I-42d (122)

## Q
A plane-wave DFT calculation with GGA-PBE was carried out for crystalline Na2HfAs at its relaxed geometry.

```
Na2HfAs
1.0
0.000 3.574 3.574
3.574 0.000 3.574
3.574 3.574 0.000
Na Hf As
2 1 1
Cartesian
1.787 1.787 1.787 Na
5.361 5.361 5.361 Na
0.000 0.000 0.000 Hf
3.574 3.574 3.574 As
```

Results
space-group type: Fm-3m (225)

Most favorable structure: P. The second most favorable one is 63.0 kJ/mol of atoms above it.

## P
A plane-wave DFT calculation with GGA-PBE was carried out for crystalline NaHfAs3 at its relaxed geometry.

```
NaHfAs3
1.0
5.181 0.000 0.000
0.000 5.181 0.000
0.000 0.000 5.181
Na Hf As
1 1 3
Cartesian
0.000 0.000 0.000 Na
2.590 2.590 2.590 Hf
0.000 2.590 2.590 As
2.590 0.000 2.590 As
2.590 2.590 0.000 As
```

Results
space-group type: Pm-3m (221)

## Q
A plane-wave DFT calculation with GGA-PBE was carried out for crystalline NaHfAs3 at its relaxed geometry.

```
NaHfAs3
1.0
4.841 0.000 0.000
0.000 4.841 0.000
0.000 0.000 4.841
Na Hf As
1 1 3
Cartesian
0.000 0.000 0.000 Na
2.421 2.421 2.421 Hf
0.000 0.000 2.421 As
0.000 2.421 0.000 As
2.421 0.000 0.000 As
```

Results
space-group type: Pm-3m (221)

Most favorable structure: P. The second most favorable one is 105.0 kJ/mol of atoms above it.

## P
A plane-wave DFT calculation with GGA-PBE was carried out for crystalline NaHf3As at its relaxed geometry.

```
NaHf3As
1.0
4.903 0.000 0.000
0.000 4.903 0.000
0.000 0.000 4.903
Na Hf As
1 3 1
Cartesian
0.000 0.000 0.000 Na
0.000 0.000 2.452 Hf
0.000 2.452 0.000 Hf
2.452 0.000 0.000 Hf
2.452 2.452 2.452 As
```

Results
space-group type: Pm-3m (221)

## Q
A plane-wave DFT calculation with GGA-PBE was carried out for crystalline NaHf3As at its relaxed geometry.

```
NaHf3As
1.0
5.049 0.000 0.000
0.000 5.049 0.000
0.000 0.000 5.049
Na Hf As
1 3 1
Cartesian
0.000 0.000 0.000 Na
0.000 2.524 2.524 Hf
2.524 0.000 2.524 Hf
2.524 2.524 0.000 Hf
2.524 2.524 2.524 As
```

Results
space-group type: Pm-3m (221)

Most favorable structure: Q. The second most favorable one is 110.1 kJ/mol of atoms above it.